PmNb6Sn6 PBE optimized geometry; density of states at the Fermi level = 4.6 states/eV/f.u.; SG = Immm, No. 71; energy of formation = -330.0 meV/atom
1.0
-5.613 -0.252 -1.502
-2.088 -6.887 -2.299
-4.455 -2.085 5.735
Pm Nb Sn
1 6 6
Direct
0.000 0.000 0.000
0.000 0.500 0.000
0.500 0.500 0.000
0.000 0.000 0.500
0.500 0.000 0.500
0.500 0.748 0.252
0.500 0.252 0.748
0.334 0.666 0.666
0.666 0.334 0.334
0.000 0.330 0.670
0.000 0.670 0.330
0.335 0.165 0.165
0.665 0.835 0.835